# 1
# BaMgInS2

A relaxed structure of BaMgInS2 (GGA-PBE, the Alexandria database).

```
5
Lattice="5.8168 0.0000 0.0000 0.0000 5.8168 0.0000 0.0000 0.0000 6.4336" Properties=species:S:1:pos:R:3 pbc="T T T"
Ba 0.0000 0.0000 0.0000
Mg 0.0000 0.0000 3.2168
In 2.9084 2.9084 3.2168
S 0.0000 2.9084 0.0000
S 2.9084 0.0000 0.0000
```

Values from the calculation:
* ΔE_f (raw): 0.1391 eV/atom

=====

# 2
# MgPt3O8

A relaxed structure of MgPt3O8 (GGA-PBE, the Alexandria database).

```
12
Lattice="5.0831 -3.1345 0.0000 5.0831 3.1345 0.0000 -3.1919 0.0000 5.0881" Properties=species:S:1:pos:R:3 pbc="T T T"
Mg 0.0000 0.0000 0.0000
Pt 0.9456 1.5673 2.5441
Pt 0.9456 -1.5673 2.5441
Pt 5.0831 0.0000 0.0000
O 1.5549 0.0000 1.4541
O 2.4511 1.4843 3.8640
O 0.3290 0.0000 3.7386
O 4.5231 1.4843 1.2241
O 2.4511 -1.4843 3.8640
O 6.6452 0.0000 1.3496
O 4.5231 -1.4843 1.2241
O 5.4194 0.0000 3.6340
```

Values from the calculation:
* ΔE_f (raw): -0.7312 eV/atom

=====

# 3
# Ce2Br2Cl3

A relaxed structure of Ce2Br2Cl3 (GGA-PBE, the Alexandria database).

```
14
Lattice="12.7237 0.0000 0.0000 0.0000 4.0692 0.0000 -3.1029 0.0000 7.6006" Properties=species:S:1:pos:R:3 pbc="T T T"
Ce 1.5470 0.0000 1.6023
Ce 1.7120 2.0346 5.9984
Ce 7.9088 2.0346 1.6023
Ce 8.0739 0.0000 5.9984
Br -0.5270 0.0000 6.1669
Br 3.7860 2.0346 1.4338
Br 5.8349 2.0346 6.1669
Br 10.1479 0.0000 1.4338
Cl 0.0000 2.0346 0.0000
Cl 0.3633 2.0346 3.3058
Cl 2.8957 0.0000 4.2948
Cl 6.3619 0.0000 0.0000
Cl 6.7252 0.0000 3.3058
Cl 9.2576 2.0346 4.2948
```

Values from the calculation:
* ΔE_f (raw): -1.9734 eV/atom

=====

# 4
# LaCeOsRh

A relaxed structure of LaCeOsRh (GGA-PBE, the Alexandria database).

```
16
Lattice="7.0504 0.0000 0.0000 0.0000 7.0504 0.0000 0.0000 0.0000 7.0504" Properties=species:S:1:pos:R:3 pbc="T T T"
La 0.0000 0.0000 0.0000
La 0.0000 3.5252 3.5252
La 3.5252 0.0000 3.5252
La 3.5252 3.5252 0.0000
Ce 0.0000 0.0000 3.5252
Ce 0.0000 3.5252 0.0000
Ce 3.5252 0.0000 0.0000
Ce 3.5252 3.5252 3.5252
Os 1.7626 1.7626 1.7626
Os 1.7626 5.2878 5.2878
Os 5.2878 1.7626 5.2878
Os 5.2878 5.2878 1.7626
Rh 1.7626 1.7626 5.2878
Rh 1.7626 5.2878 1.7626
Rh 5.2878 1.7626 1.7626
Rh 5.2878 5.2878 5.2878
```

Values from the calculation:
* E_form: -296 meV/atom

=====

# 5
# Na2ZnAg

A relaxed structure of Na2ZnAg (GGA-PBE, the Alexandria database).

```
4
Lattice="3.7730 0.0000 0.0000 0.0000 3.7730 0.0000 0.0000 0.0000 6.4255" Properties=species:S:1:pos:R:3 pbc="T T T"
Na 0.0000 0.0000 1.5808
Na 0.0000 0.0000 4.8448
Zn 1.8865 1.8865 3.2128
Ag 1.8865 1.8865 0.0000
```

Values from the calculation:
* E_form: 74 meV/atom

=====

# 6
# SiSbTe2Ru

A relaxed structure of SiSbTe2Ru (GGA-PBE, the Alexandria database).

```
5
Lattice="5.0777 0.0000 0.0000 0.0000 5.0777 0.0000 0.0000 0.0000 5.0331" Properties=species:S:1:pos:R:3 pbc="T T T"
Si 0.0000 0.0000 0.0000
Sb 0.0000 0.0000 2.5166
Te 0.0000 2.5388 0.0000
Te 2.5388 0.0000 0.0000
Ru 2.5388 2.5388 2.5166
```

Values from the calculation:
* ΔE_f (raw): 1.1755 eV/atom

=====

# 7
# Tm4Te2PS

A relaxed structure of Tm4Te2PS (GGA-PBE, the Alexandria database).

```
8
Lattice="6.9728 0.0000 0.0000 0.0000 4.0392 0.0000 -2.3371 0.0000 6.9254" Properties=species:S:1:pos:R:3 pbc="T T T"
Tm 1.1360 0.0000 1.4215
Tm -0.0304 2.0196 5.5099
Tm 4.6661 2.0196 1.4154
Tm 3.4997 0.0000 5.5038
Te -1.1685 0.0000 3.4627
Te 2.3179 2.0196 3.4627
P 0.0000 2.0196 0.0000
S 3.4864 0.0000 0.0000
```

Values from the calculation:
* ΔE_f (raw): -1.5501 eV/atom

=====

# 8
# TbSm4Er15

A relaxed structure of TbSm4Er15 (GGA-PBE, the Alexandria database).

```
20
Lattice="4.9982 0.0000 0.0000 0.0000 4.9982 0.0000 0.0000 0.0000 24.9343" Properties=species:S:1:pos:R:3 pbc="T T T"
Tb 0.0000 0.0000 0.0000
Sm 0.0000 0.0000 4.9793
Sm 0.0000 0.0000 9.9701
Sm 0.0000 0.0000 14.9642
Sm 0.0000 0.0000 19.9550
Er 0.0000 2.4991 2.4758
Er 0.0000 2.4991 7.4731
Er 0.0000 2.4991 12.4671
Er 0.0000 2.4991 17.4612
Er 0.0000 2.4991 22.4584
Er 2.4991 0.0000 2.4758
Er 2.4991 0.0000 7.4731
Er 2.4991 0.0000 12.4671
Er 2.4991 0.0000 17.4612
Er 2.4991 0.0000 22.4584
Er 2.4991 2.4991 0.0000
Er 2.4991 2.4991 4.9732
Er 2.4991 2.4991 9.9717
Er 2.4991 2.4991 14.9625
Er 2.4991 2.4991 19.9611
```

Values from the calculation:
* E_form: 22 meV/atom

=====

# 9
# P2PtNCl

A relaxed structure of P2PtNCl (GGA-PBE, the Alexandria database).

```
5
Lattice="4.6415 0.0000 0.0000 0.0000 4.6415 0.0000 0.0000 0.0000 4.8488" Properties=species:S:1:pos:R:3 pbc="T T T"
P 0.0000 2.3208 0.0000
P 2.3208 0.0000 0.0000
Pt 0.0000 0.0000 0.0000
N 2.3208 2.3208 2.4244
Cl 0.0000 0.0000 2.4244
```

Values from the calculation:
* ΔE_f (raw): 1.7425 eV/atom

=====

# 10
# BaLa2Tl

A relaxed structure of BaLa2Tl (GGA-PBE, the Alexandria database).

```
4
Lattice="3.8880 0.0000 0.0000 0.0000 5.9559 0.0000 -0.9172 0.0000 6.4102" Properties=species:S:1:pos:R:3 pbc="T T T"
Ba 0.0000 0.0000 0.0000
La 0.4796 2.9779 4.5450
La 2.4913 2.9779 1.8652
Tl 1.4854 0.0000 3.2051
```

Values from the calculation:
* E_form: -86 meV/atom

=====

# 11
# Ga6CuRu5

A relaxed structure of Ga6CuRu5 (GGA-PBE, the Alexandria database).

```
12
Lattice="-2.1228 3.0787 6.3846 2.1228 -3.0787 6.3846 2.1228 3.0787 -6.3846" Properties=species:S:1:pos:R:3 pbc="T T T"
Ga 2.1228 1.5007 -2.1711
Ga 0.0000 1.4447 0.0000
Ga 2.1228 1.5007 2.1711
Ga 0.0000 1.5780 4.2135
Ga 0.0000 4.7126 0.0000
Ga 0.0000 1.5780 8.5557
Cu 0.0000 0.0000 6.3846
Ru 2.1228 0.0000 0.0000
Ru 0.0000 0.0000 2.1708
Ru 2.1228 0.0000 4.4355
Ru 0.0000 3.0787 1.9492
Ru 0.0000 0.0000 10.5984
```

Values from the calculation:
* E_form: -311 meV/atom

=====

# 12
# La7Sc

A relaxed structure of La7Sc (GGA-PBE, the Alexandria database).

```
8
Lattice="0.0000 5.1849 5.1849 5.1849 0.0000 5.1849 5.1849 5.1849 0.0000" Properties=species:S:1:pos:R:3 pbc="T T T"
La 0.0000 0.0000 0.0000
La 2.5924 2.5924 0.0000
La 2.5924 0.0000 2.5924
La 5.1849 2.5924 2.5924
La 0.0000 2.5924 2.5924
La 2.5924 5.1849 2.5924
La 2.5924 2.5924 5.1849
Sc 5.1849 5.1849 5.1849
```

Values from the calculation:
* E_form: 25 meV/atom

=====

# 13
# Cd3GePt

A relaxed structure of Cd3GePt (GGA-PBE, the Alexandria database).

```
5
Lattice="5.0241 0.0000 0.0000 0.0000 5.0241 0.0000 0.0000 0.0000 5.0241" Properties=species:S:1:pos:R:3 pbc="T T T"
Cd 0.0000 0.0000 2.5120
Cd 0.0000 2.5120 0.0000
Cd 2.5120 0.0000 0.0000
Ge 0.0000 0.0000 0.0000
Pt 2.5120 2.5120 2.5120
```

Values from the calculation:
* E_form: 619 meV/atom

=====

# 14
# AgPd2O6

A relaxed structure of AgPd2O6 (GGA-PBE, the Alexandria database).

```
9
Lattice="5.4788 0.0000 0.0000 -2.7394 4.7448 0.0000 0.0000 0.0000 4.3259" Properties=species:S:1:pos:R:3 pbc="T T T"
Ag 0.0000 0.0000 0.0000
Pd 0.0000 3.1632 0.0000
Pd 2.7394 1.5816 0.0000
O -0.9473 1.6408 0.9837
O -1.7921 3.1040 3.3422
O 1.8947 0.0000 0.9837
O 0.9473 1.6408 3.3422
O 3.5842 0.0000 3.3422
O 1.7921 3.1040 0.9837
```

Values from the calculation:
* ΔE_f (raw): -0.0608 eV/atom

=====

# 15
# KErCoBr6

A relaxed structure of KErCoBr6 (GGA-PBE, the Alexandria database).

```
9
Lattice="3.4942 -6.0735 0.0000 3.4942 6.0735 0.0000 -0.0338 0.0000 7.3833" Properties=species:S:1:pos:R:3 pbc="T T T"
K 0.0000 0.0000 0.0000
Er 3.4774 2.0230 3.6917
Co 3.4774 -2.0259 3.6917
Br 1.3630 -2.1862 5.2378
Br 2.6142 -0.1036 2.1200
Br 4.3405 -0.1036 5.2633
Br 2.2873 -3.7715 2.1494
Br 4.6675 -3.7715 5.2339
Br 5.5917 -2.1862 2.1455
```

Values from the calculation:
* ΔE_f (raw): -1.2984 eV/atom

=====

# 16
# Ca2BeZn

A relaxed structure of Ca2BeZn (GGA-PBE, the Alexandria database).

```
4
Lattice="4.4620 0.0000 0.0000 0.0000 4.2304 0.0000 -2.2237 0.0000 5.2926" Properties=species:S:1:pos:R:3 pbc="T T T"
Ca 0.0000 0.0000 0.0000
Ca 0.0042 2.1152 3.0742
Be 2.2368 2.1152 1.0344
Zn 2.2331 0.0000 2.0499
```

Values from the calculation:
* E_form: 18 meV/atom

=====

# 17
# LiAgTe2

A relaxed structure of LiAgTe2 (GGA-PBE, the Alexandria database).

```
8
Lattice="4.8526 0.0000 0.0000 0.0000 6.3447 0.0000 0.0000 0.0000 6.5203" Properties=species:S:1:pos:R:3 pbc="T T T"
Li 0.0000 0.0000 0.0000
Li 2.4263 3.1724 0.0000
Ag 0.0000 0.0000 3.2602
Ag 2.4263 3.1724 3.2602
Te 0.0000 3.1724 1.5747
Te 0.0000 3.1724 4.9456
Te 2.4263 0.0000 1.5747
Te 2.4263 0.0000 4.9456
```

Values from the calculation:
* ΔE_f (raw): -0.2079 eV/atom

=====

# 18
# MgMoIr2

A relaxed structure of MgMoIr2 (GGA-PBE, the Alexandria database).

```
4
Lattice="2.7591 0.0000 0.0000 0.0000 2.7591 0.0000 0.0000 0.0000 8.2218" Properties=species:S:1:pos:R:3 pbc="T T T"
Mg 0.0000 0.0000 0.0000
Mo 1.3795 1.3795 2.3411
Ir 0.0000 0.0000 4.3202
Ir 1.3795 1.3795 6.2327
```

Values from the calculation:
* E_form: 27 meV/atom

=====

# 19
# CrRuAu2

A relaxed structure of CrRuAu2 (GGA-PBE, the Alexandria database).

```
8
Lattice="3.9880 0.0000 0.0000 0.0000 3.9880 0.0000 0.0000 0.0000 7.9727" Properties=species:S:1:pos:R:3 pbc="T T T"
Cr 0.0000 0.0000 0.0000
Cr 1.9940 1.9940 3.9864
Ru 0.0000 1.9940 1.9932
Ru 1.9940 0.0000 5.9795
Au 0.0000 0.0000 3.9864
Au 0.0000 1.9940 5.9795
Au 1.9940 0.0000 1.9932
Au 1.9940 1.9940 0.0000
```

Values from the calculation:
* E_form: 252 meV/atom

=====

# 20
# CaMg2AsO6

A relaxed structure of CaMg2AsO6 (GGA-PBE, the Alexandria database).

```
20
Lattice="5.3914 -4.5908 0.0000 5.3914 4.5908 0.0000 -3.2066 0.0000 5.9519" Properties=species:S:1:pos:R:3 pbc="T T T"
Ca 2.9864 2.7498 4.4639
Ca 4.5897 -2.7498 1.4880
Mg 0.7241 0.4938 5.2425
Mg 2.3274 -0.4938 2.2666
Mg 5.2488 0.4938 3.6854
Mg 6.8521 -0.4938 0.7094
As 4.5897 3.1769 1.4880
As 2.9864 -3.1769 4.4639
O -1.0397 0.3807 4.3162
O 0.5636 -0.3807 1.3402
O 4.4792 2.2356 0.0684
O 2.0235 0.7582 3.7505
O 4.7002 2.2356 2.9075
O 3.6268 -0.7582 0.7746
O 3.9493 0.7582 5.1773
O 2.8759 -2.2356 3.0444
O 5.5526 -0.7582 2.2014
O 3.0969 -2.2356 5.8835
O 7.0125 0.3807 4.6117
O 8.6158 -0.3807 1.6358
```

Values from the calculation:
* ΔE_f (raw): -2.0540 eV/atom

=====

# 21
# TcOs7

A relaxed structure of TcOs7 (GGA-PBE, the Alexandria database).

```
8
Lattice="0.0000 3.8598 3.8598 3.8598 0.0000 3.8598 3.8598 3.8598 0.0000" Properties=species:S:1:pos:R:3 pbc="T T T"
Tc 0.0000 0.0000 0.0000
Os 1.9299 1.9299 0.0000
Os 1.9299 0.0000 1.9299
Os 3.8598 1.9299 1.9299
Os 0.0000 1.9299 1.9299
Os 1.9299 3.8598 1.9299
Os 1.9299 1.9299 3.8598
Os 3.8598 3.8598 3.8598
```

Values from the calculation:
* E_form: 135 meV/atom

=====

# 22
# VInRe2Pb

A relaxed structure of VInRe2Pb (GGA-PBE, the Alexandria database).

```
5
Lattice="4.9812 0.0000 0.0000 0.0000 4.9812 0.0000 0.0000 0.0000 4.8432" Properties=species:S:1:pos:R:3 pbc="T T T"
V 0.0000 0.0000 0.0000
In 2.4906 2.4906 0.0000
Re 0.0000 2.4906 2.4216
Re 2.4906 0.0000 2.4216
Pb 0.0000 0.0000 2.4216
```

Values from the calculation:
* E_form: 2561 meV/atom

=====

# 23
# MgCo2Pb

A relaxed structure of MgCo2Pb (GGA-PBE, the Alexandria database).

```
12
Lattice="4.0075 0.0000 0.0000 -2.0037 3.4706 0.0000 0.0000 0.0000 15.9361" Properties=species:S:1:pos:R:3 pbc="T T T"
Mg 0.0000 0.0000 0.0000
Mg 0.0000 2.3137 10.6241
Mg 2.0037 1.1569 5.3120
Co 0.0000 0.0000 6.7052
Co 0.0000 0.0000 12.3013
Co 0.0000 2.3137 1.3932
Co 0.0000 2.3137 6.9893
Co 2.0037 1.1569 1.6773
Co 2.0037 1.1569 12.0173
Pb 0.0000 0.0000 3.1914
Pb 0.0000 2.3137 13.8154
Pb 2.0037 1.1569 8.5034
```

Values from the calculation:
* E_form: 236 meV/atom

=====

# 24
# Y12Tm7Zr

A relaxed structure of Y12Tm7Zr (GGA-PBE, the Alexandria database).

```
20
Lattice="9.6130 5.5501 2.0305 -9.6130 5.5501 2.0305 0.0000 -11.1002 2.0305" Properties=species:S:1:pos:R:3 pbc="T T T"
Y 5.6255 1.3397 4.0624
Y -5.6255 -1.3397 2.0293
Y -3.3817 1.9382 1.1529
Y 0.0124 -3.8977 1.1529
Y 3.9730 -4.2019 2.0293
Y -1.6525 -5.5417 4.0624
Y 3.3694 1.9596 1.1529
Y -3.3693 -1.9596 4.9387
Y 1.6525 5.5417 2.0293
Y -3.9730 4.2019 4.0624
Y -0.0124 3.8977 4.9387
Y 3.3817 -1.9382 4.9387
Tm 0.0000 0.0000 0.0000
Tm -2.3158 -1.3513 1.8771
Tm -0.0124 2.6812 1.8771
Tm 2.3281 -1.3298 1.8771
Tm -2.3282 1.3298 4.2145
Tm 0.0124 -2.6812 4.2145
Tm 2.3157 1.3513 4.2145
Zr 0.0000 0.0000 3.0458
```

Values from the calculation:
* E_form: 244 meV/atom

=====

# 25
# PrDyCu2

A relaxed structure of PrDyCu2 (GGA-PBE, the Alexandria database).

```
16
Lattice="7.0967 0.0000 0.0000 0.0000 7.0967 0.0000 0.0000 0.0000 7.0967" Properties=species:S:1:pos:R:3 pbc="T T T"
Pr 0.0000 0.0000 0.0000
Pr 0.0000 3.5483 3.5483
Pr 3.5483 0.0000 3.5483
Pr 3.5483 3.5483 0.0000
Dy 0.0000 0.0000 3.5483
Dy 0.0000 3.5483 0.0000
Dy 3.5483 0.0000 0.0000
Dy 3.5483 3.5483 3.5483
Cu 1.7742 1.7742 1.7742
Cu 1.7742 1.7742 5.3225
Cu 1.7742 5.3225 1.7742
Cu 1.7742 5.3225 5.3225
Cu 5.3225 1.7742 1.7742
Cu 5.3225 1.7742 5.3225
Cu 5.3225 5.3225 1.7742
Cu 5.3225 5.3225 5.3225
```

Values from the calculation:
* E_form: -167 meV/atom